GGA-PBE LuBe2Ge, optimized geometry; calculated volume = 15.53 A^3/atom; uncorrected energy = -3.934 eV per atom
1.0
6.287 0.000 0.000
0.000 6.287 0.000
0.000 0.000 6.287
Lu Be Ge
4 8 4
Direct
0.000 0.000 0.000
0.000 0.500 0.500
0.500 0.000 0.500
0.500 0.500 0.000
0.000 0.000 0.500
0.000 0.500 0.000
0.250 0.250 0.250
0.250 0.750 0.750
0.500 0.000 0.000
0.500 0.500 0.500
0.750 0.250 0.750
0.750 0.750 0.250
0.250 0.250 0.750
0.250 0.750 0.250
0.750 0.250 0.250
0.750 0.750 0.750